LuZnInSe3: optimized geometry, PBE-GGA.

Cell: 4.0354 14.6380 10.7146 Å, 90.00 90.00 90.00°
Space group Cmcm (No. 63)
Unique sites:
Lu 0.0000 0.0000 0.0000 (multiplicity 4)
Zn 0.0000 0.4613 0.2500 (multiplicity 4)
In 0.0000 0.2490 0.7500 (multiplicity 4)
Se 0.0000 0.0667 0.2500 (multiplicity 4)
Se 0.0000 0.3712 0.0574 (multiplicity 8)

Results
VASP energy: -4.22 eV per atom